BaCoSi: relaxed, PBE.

volume: 20.7 A^3/atom
total magnetic moment: 0.45 μB per formula unit
electronic total energy: -4.745 eV per atom

Cell: 6.318 6.318 6.318 Å, 150.58 149.80 42.66°
Each line ends with the local moment (μB).
Atoms (fractional coordinates):
Co  0.719  0.719  0.000  0.56
Si  0.280  0.280  0.000  -0.01
Ba  0.001  0.001  0.000  -0.04

***

BaCo2Si2: relaxed, PBE.

volume: 30.8 A^3/atom
total magnetic moment: 0.50 μB per formula unit
electronic total energy: -2.919 eV per atom

Cell: 5.603 5.603 4.904 Å, 90.00 90.00 90.00°
Each line ends with the local moment (μB).
Atoms (fractional coordinates):
Si  0.500  0.000  0.000  -0.05
Si  0.000  0.500  0.000  -0.05
Co  0.500  0.500  0.500  2.21
Co  0.000  0.000  0.500  -1.42
Ba  0.000  0.000  0.000  0.03

***

| no. | raw formation energy (eV/atom) |
| --- | --- |
| 1 | 0.072 |
| 2 | 2.477 |